Na2PaSbO8: optimized geometry, PBE.

Output
E_form (uncorrected) in eV per atom: -1.747
Raw total energy in eV per atom: -6.407

Cell lengths 3.8402, 6.0210, 7.3414 Å; angles 86.14, 82.78, 75.88 degrees
Space group P-1 (No. 2)
Asymmetric unit:
Na 0.0869 0.0502 0.2465
Pa 0.5000 0.5000 0.5000
Sb 0.5000 0.5000 0.0000
O 0.0215 0.7525 0.0550
O 0.0473 0.7268 0.4696
O 0.2991 0.3038 0.8405
O 0.4572 0.3211 0.2299